First-principles (PBE+U) data for a geometry-optimized MnRh2ClO structure, as listed in the Alexandria database.

Output
The total magnetic moment is 1.04 μB per formula unit. The total energy comes out at -4.892 eV/atom. The space-group type is P4/mmm.

Structure (CIF):
```
data_MnRh2ClO
_cell_length_a 4.8282
_cell_length_b 4.8282
_cell_length_c 3.4461
_cell_angle_alpha 90.00
_cell_angle_beta 90.00
_cell_angle_gamma 90.00
_space_group_name_H-M_alt 'P 1'
_space_group_IT_number 1
loop_
_space_group_symop_operation_xyz
'x,y,z'
loop_
_atom_site_label
_atom_site_type_symbol
_atom_site_fract_x
_atom_site_fract_y
_atom_site_fract_z
O1 O 0.0000 0.0000 0.5000
Rh1 Rh 0.0000 0.5000 0.0000
Rh2 Rh 0.5000 0.0000 0.0000
Cl1 Cl 0.5000 0.5000 0.5000
Mn1 Mn 0.0000 0.0000 0.0000
```